# 1
Ac8GeSe6 | Alexandria | PBE | relaxed; total energy = -5.2453 eV/atom; raw formation energy = -1.3525 eV per atom
1.0
-1.216 1.532 -4.051
3.180 -9.904 -4.699
-10.700 1.371 3.730
Ac Ge Se
8 1 6
Direct
0.743 0.963 0.281 Ac
0.743 0.719 0.682 Ac
0.743 0.318 0.037 Ac
0.257 0.037 0.719 Ac
0.257 0.281 0.318 Ac
0.257 0.682 0.963 Ac
0.750 0.333 0.667 Ac
0.250 0.667 0.333 Ac
0.500 0.000 0.000 Ge
0.751 0.642 0.129 Se
0.751 0.871 0.513 Se
0.751 0.487 0.358 Se
0.249 0.358 0.871 Se
0.249 0.129 0.487 Se
0.249 0.513 0.642 Se

# 2
YBe2 | Alexandria | PBE | relaxed; ΔH_f (0 K) = 1.058 eV/atom; total energy = -3.5813 eV/atom
1.0
6.245 0.000 0.000
0.000 6.245 0.000
0.000 0.000 6.245
Y Be
4 8
Direct
0.000 0.000 0.000 Y
0.500 0.500 0.000 Y
0.500 0.000 0.500 Y
0.000 0.500 0.500 Y
0.591 0.591 0.409 Be
0.409 0.409 0.591 Be
0.091 0.909 0.591 Be
0.909 0.091 0.409 Be
0.409 0.091 0.091 Be
0.591 0.909 0.909 Be
0.909 0.409 0.909 Be
0.091 0.591 0.091 Be

# 3
LaDyAs2Pd2 | Alexandria | PBE | relaxed; ΔH_f (0 K) = -1.215 eV/atom; total energy = -6.0841 eV/atom
1.0
-1.376 -1.293 3.957
-1.412 -2.072 -3.597
5.945 -4.875 0.475
La Dy As Pd
1 1 2 2
Direct
0.000 0.000 0.000 La
0.000 0.000 0.500 Dy
0.667 0.333 0.745 As
0.333 0.667 0.255 As
0.667 0.333 0.275 Pd
0.333 0.667 0.725 Pd

# 4
ZrIn2SiSe | Alexandria | PBE | relaxed; total energy = -3.9859 eV/atom; raw formation energy = 0.6006 eV per atom
1.0
5.059 0.000 0.000
0.000 4.992 0.000
0.000 0.000 5.059
Si Se Zr In
1 1 1 2
Direct
0.000 0.000 0.000 Si
0.000 0.500 0.000 Se
0.500 0.500 0.500 Zr
0.000 0.000 0.500 In
0.500 0.000 0.000 In

# 5
ZrCuSiP | Alexandria | PBE | relaxed; total energy = -6.5880 eV/atom; raw formation energy = -0.7187 eV per atom
1.0
-0.563 0.615 -3.496
3.443 -0.766 -0.689
-2.289 -9.167 -1.245
P Si Cu Zr
2 2 2 2
Direct
0.750 0.750 0.329 P
0.250 0.250 0.671 P
0.250 0.750 0.000 Si
0.750 0.250 0.000 Si
0.750 0.250 0.500 Cu
0.250 0.750 0.500 Cu
0.750 0.750 0.771 Zr
0.250 0.250 0.229 Zr

# 6
K3YPd | Alexandria | PBE | relaxed; excess energy over the best structure of this formula in the dataset = 0 meV/atom; ΔH_f (0 K) = 0.595 eV/atom; total energy = -2.3950 eV/atom
1.0
-0.152 5.144 3.451
-5.646 1.305 -2.192
-2.547 -3.199 4.655
Y K Pd
1 3 1
Direct
0.500 0.500 0.500 Y
0.000 0.500 0.000 K
0.000 0.000 0.500 K
0.500 0.000 0.000 K
0.000 0.000 0.000 Pd

# 7
UTl2InS5 | Alexandria | PBE | relaxed; total energy = -5.1407 eV/atom; raw formation energy = -0.7633 eV per atom
1.0
4.052 0.000 0.000
-2.026 9.197 0.000
0.000 0.000 14.048
U Tl In S
2 4 2 10
Direct
0.785 0.571 0.528 U
0.215 0.429 0.028 U
0.876 0.752 0.821 Tl
0.101 0.202 0.667 Tl
0.124 0.248 0.321 Tl
0.899 0.798 0.167 Tl
0.562 0.125 0.931 In
0.438 0.875 0.431 In
0.348 0.695 0.004 S
0.701 0.402 0.901 S
0.499 0.997 0.785 S
0.281 0.562 0.646 S
0.937 0.873 0.542 S
0.652 0.305 0.504 S
0.299 0.598 0.401 S
0.501 0.003 0.285 S
0.719 0.438 0.146 S
0.063 0.127 0.042 S

# 8
Mo2WAu | Alexandria | PBE | relaxed; excess energy over the best structure of this formula in the dataset = 104 meV/atom; ΔH_f (0 K) = 0.251 eV/atom; total energy = -9.2217 eV/atom
1.0
-1.324 -4.069 -0.421
2.518 -0.877 0.564
0.516 -0.775 5.876
Au Mo W
1 2 1
Direct
0.500 0.750 0.750 Au
0.000 0.057 0.017 Mo
0.000 0.443 0.483 Mo
0.500 0.250 0.250 W

# 9
LaIr2Os | Alexandria | PBE | relaxed; excess energy over the best structure of this formula in the dataset = 0 meV/atom; ΔH_f (0 K) = 0.045 eV/atom; total energy = -8.4246 eV/atom
1.0
3.701 0.000 0.000
0.000 2.839 0.027
0.000 2.799 7.065
Ir La Os
2 1 1
Direct
0.000 0.059 0.940 Ir
0.000 0.441 0.560 Ir
0.500 0.250 0.250 La
0.500 0.750 0.750 Os

# 10
Cs12Ag6Hg | Alexandria | PBE | relaxed; ΔH_f (0 K) = 0.008 eV/atom; total energy = -1.4477 eV/atom
1.0
-4.114 -10.492 2.616
11.546 -0.424 -0.595
-3.166 7.535 8.188
Cs Ag Hg
12 6 1
Direct
0.310 0.128 0.818 Cs
0.310 0.492 0.182 Cs
0.690 0.508 0.818 Cs
0.690 0.872 0.182 Cs
0.128 0.818 0.310 Cs
0.492 0.182 0.310 Cs
0.508 0.818 0.690 Cs
0.872 0.182 0.690 Cs
0.818 0.310 0.128 Cs
0.182 0.310 0.492 Cs
0.818 0.690 0.508 Cs
0.182 0.690 0.872 Cs
0.393 0.500 0.893 Ag
0.607 0.500 0.107 Ag
0.500 0.893 0.393 Ag
0.500 0.107 0.607 Ag
0.893 0.393 0.500 Ag
0.107 0.607 0.500 Ag
0.000 0.000 0.000 Hg

# 11
Pm2Nd4Er7 | Alexandria | PBE | relaxed; ΔH_f (0 K) = 0.158 eV/atom; total energy = -4.4968 eV/atom
1.0
6.094 0.000 0.000
-3.047 5.278 0.000
0.000 0.000 13.499
Pm Nd Er
2 4 7
Direct
0.667 0.333 0.000 Pm
0.333 0.667 0.000 Pm
0.000 0.000 0.608 Nd
0.000 0.000 0.392 Nd
0.667 0.333 0.500 Nd
0.333 0.667 0.500 Nd
0.000 0.650 0.789 Er
0.000 0.350 0.211 Er
0.000 0.000 0.000 Er
0.650 0.000 0.789 Er
0.350 0.000 0.211 Er
0.650 0.650 0.211 Er
0.350 0.350 0.789 Er

# 12
Sm6Dy3Y2Sc | Alexandria | PBE | relaxed; ΔH_f (0 K) = 0.024 eV/atom; total energy = -5.0908 eV/atom
1.0
-3.339 -3.050 -4.228
3.344 -3.142 4.156
-9.044 1.965 7.231
Sm Dy Y Sc
6 3 2 1
Direct
0.918 0.588 0.752 Sm
0.752 0.752 0.248 Sm
0.082 0.412 0.248 Sm
0.588 0.918 0.752 Sm
0.248 0.248 0.752 Sm
0.412 0.082 0.248 Sm
0.167 0.833 0.500 Dy
0.833 0.167 0.500 Dy
0.500 0.500 0.500 Dy
0.333 0.667 0.000 Y
0.667 0.333 0.000 Y
0.000 0.000 0.000 Sc